(1)
# TaTiN (PBE, relaxed)
# - Energy above the most stable polymorph in this dataset: 3 meV/atom
# - Formation energy from raw total energies: -1.119 eV/atom
# - SG: Pnma
data_TaTiN
_chemical_formula_sum 'Ta4 Ti4 N4'
_space_group_name_H-M_alt 'P 1'
_space_group_IT_number 1
_space_group_name_Hall 'P 1'
_cell_length_a 4.405
_cell_length_b 3.003
_cell_length_c 11.768
_cell_angle_alpha 90.00
_cell_angle_beta 90.00
_cell_angle_gamma 90.00
loop_
_atom_site_label
_atom_site_type_symbol
_atom_site_fract_x
_atom_site_fract_y
_atom_site_fract_z
Ti1 Ti 0.250 0.360 0.190
Ti2 Ti 0.750 0.860 0.310
Ti3 Ti 0.250 0.140 0.690
Ti4 Ti 0.750 0.640 0.810
N1 N 0.750 0.349 0.190
N2 N 0.250 0.849 0.310
N3 N 0.750 0.151 0.690
N4 N 0.250 0.651 0.810
Ta1 Ta 0.750 0.848 0.061
Ta2 Ta 0.250 0.348 0.439
Ta3 Ta 0.750 0.652 0.561
Ta4 Ta 0.250 0.152 0.939

---

(2)
# Rb3PuTl3Br8 (PBE, relaxed)
# - Formation energy from raw total energies: -1.329 eV/atom
# - SG: R-3m
data_Rb3PuTl3Br8
_chemical_formula_sum 'Rb3 Pu1 Tl3 Br8'
_space_group_name_H-M_alt 'P 1'
_space_group_IT_number 1
_space_group_name_Hall 'P 1'
_cell_length_a 9.605
_cell_length_b 9.603
_cell_length_c 9.745
_cell_angle_alpha 119.53
_cell_angle_beta 90.00
_cell_angle_gamma 120.01
loop_
_atom_site_label
_atom_site_type_symbol
_atom_site_fract_x
_atom_site_fract_y
_atom_site_fract_z
Rb1 Rb 0.000 0.000 0.000
Rb2 Rb 0.000 0.500 0.000
Rb3 Rb 0.500 0.500 0.000
Pu1 Pu 0.000 0.000 0.500
Tl1 Tl 0.500 0.000 0.500
Tl2 Tl 0.500 0.500 0.500
Tl3 Tl 0.000 0.500 0.500
Br1 Br 0.252 0.504 0.257
Br2 Br 0.748 0.496 0.743
Br3 Br 0.779 0.558 0.282
Br4 Br 0.221 0.442 0.718
Br5 Br 0.779 0.004 0.283
Br6 Br 0.221 0.996 0.717
Br7 Br 0.225 0.004 0.283
Br8 Br 0.775 0.996 0.717

---

(3)
# Pr6Ho4Sc (PBE, relaxed)
# - Energy relative to the elements: 6.4 kcal/mol of atoms
# - SG: I-42m
data_Pr6Ho4Sc
_chemical_formula_sum 'Pr6 Ho4 Sc1'
_space_group_name_H-M_alt 'P 1'
_space_group_IT_number 1
_space_group_name_Hall 'P 1'
_cell_length_a 9.899
_cell_length_b 9.899
_cell_length_c 9.899
_cell_angle_alpha 56.07
_cell_angle_beta 141.18
_cell_angle_gamma 141.18
loop_
_atom_site_label
_atom_site_type_symbol
_atom_site_fract_x
_atom_site_fract_y
_atom_site_fract_z
Pr1 Pr 0.000 0.815 0.459
Pr2 Pr 0.000 0.459 0.815
Pr3 Pr 0.356 0.541 0.541
Pr4 Pr 0.500 0.500 0.000
Pr5 Pr 0.644 0.185 0.185
Pr6 Pr 0.500 0.000 0.500
Ho1 Ho 0.000 0.646 0.011
Ho2 Ho 0.366 0.354 0.354
Ho3 Ho 0.000 0.011 0.646
Ho4 Ho 0.634 0.989 0.989
Sc1 Sc 0.000 0.000 0.000